Cs2Tl3Ga: relaxed, PBE.

abc: 8.5205 7.8540 8.9259
angles: 102.55 118.51 90.00
Sites, in units of the cell vectors:
Cs 0.6549 0.5813 0.3156
Cs 0.3393 0.9187 0.6844
Cs 0.3451 0.4187 0.6844
Cs 0.6607 0.0813 0.3156
Tl 0.1153 0.5564 0.2320
Tl 0.8847 0.4436 0.7680
Tl 0.8833 0.9436 0.7680
Tl 0.7732 0.7500 0.0000
Tl 0.1167 0.0564 0.2320
Tl 0.2268 0.2500 0.0000
Ga 0.1702 0.7500 0.0000
Ga 0.8298 0.2500 0.0000

Calculated values
- E_form: -74 meV/atom
- Calculated total energy: -2.047 eV per atom

MnCoSi2: relaxed, PBE.

abc: 4.5870 4.5870 4.5870
angles: 136.37 136.37 63.41
Last column: magnetic moment on the atom in μB.
Sites, in units of the cell vectors:
Si 0.2500 0.7500 0.5000  -0.04
Si 0.0000 0.0000 0.0000  -0.05
Mn 0.7500 0.2500 0.5000  1.94
Co 0.5000 0.5000 0.0000  0.32

Calculated values
- ΔE_f (raw): -315 meV/atom
- Energy above the most stable polymorph in this dataset: 73 kJ/mol of formula units
- Calculated total energy: -7.096 eV per atom

Zn2Ni7Ir2: relaxed, PBE.

abc: 5.1464 5.5982 5.1464
angles: 101.62 97.60 101.62
Last column: magnetic moment on the atom in μB.
Sites, in units of the cell vectors:
Ni 0.0928 0.3296 0.5625  0.15
Ni 0.5625 0.3296 0.0928  0.15
Ni 0.0000 0.5000 0.0000  0.28
Ni 0.2273 0.9934 0.2273  0.16
Ni 0.4375 0.6704 0.9072  0.15
Ni 0.9072 0.6704 0.4375  0.15
Ni 0.7727 0.0066 0.7727  0.16
Ir 0.6052 0.3465 0.6052  0.12
Ir 0.3948 0.6535 0.3948  0.12
Zn 0.7497 0.0000 0.2503  -0.01
Zn 0.2503 0.0000 0.7497  -0.01

Calculated values
- E_form: 81 meV/atom
- Energy above the most stable polymorph in this dataset: 0 kJ/mol of formula units
- Calculated total energy: -5.441 eV per atom

CoSi2Pb: relaxed, PBE.

abc: 4.7669 4.7669 4.7669
angles: 126.00 126.00 79.89
Last column: magnetic moment on the atom in μB.
Sites, in units of the cell vectors:
Si 0.0000 0.0000 0.0000  0.00
Si 0.2500 0.7500 0.5000  -0.01
Pb 0.7500 0.2500 0.5000  -0.01
Co 0.5000 0.5000 0.0000  0.68

Calculated values
- ΔE_f (raw): 698 meV/atom
- Calculated total energy: -4.717 eV per atom